Record 1
VASP calculation (PBEsol) on a geometry-optimized LiPb structure.

Cell: 5.543 5.543 6.673 Å, 109.25 109.25 46.31°
Element x y z (fractional)
Li (0.000, 0.000, 0.000)
Li (0.003, 0.003, 0.504)
Li (0.326, 0.326, 0.177)
Pb (0.340, 0.340, 0.668)
Pb (0.653, 0.653, 0.323)
Pb (0.676, 0.676, 0.854)

Its formation energy from the elements is -229.2 meV per atom. The space group is No. 8. The magnetic moment is 0.00 μB per cell.

Record 2
VASP calculation (PBEsol) on a geometry-optimized MnInBr2 structure.

Cell: 5.323 5.323 3.459 Å, 90.00 90.00 90.00°
Element x y z (fractional)
Mn (0.000, 0.000, 0.000)
In (0.500, 0.500, 0.000)
Br (0.000, 0.500, 0.500)
Br (0.500, 0.000, 0.500)

The distance to the lowest polymorph of the same formula is 0.323 eV/atom. The space group is No. 123. As for the formation energy from raw total energies: 0.0759 eV/atom. The magnetic moment is 4.74 μB per cell.

Record 3
VASP calculation (PBEsol) on a geometry-optimized BaHfGePt2 structure.

Cell: 4.842 4.842 4.944 Å, 90.00 90.00 90.00°
Element x y z (fractional)
Ba (0.000, 0.000, 0.000)
Hf (0.500, 0.500, 0.000)
Ge (0.500, 0.500, 0.500)
Pt (0.000, 0.500, 0.500)
Pt (0.500, 0.000, 0.500)

Its formation energy from the elements is 78.1 meV per atom. The space group is No. 123. The magnetic moment is 0.00 μB per cell.

Record 4
VASP calculation (PBEsol) on a geometry-optimized CaBeIr4 structure.

Cell: 5.171 5.171 5.171 Å, 60.00 60.00 60.00°
Element x y z (fractional)
Ca (0.000, 0.000, 0.000)
Be (0.250, 0.250, 0.250)
Ir (0.126, 0.625, 0.625)
Ir (0.625, 0.126, 0.625)
Ir (0.625, 0.625, 0.126)
Ir (0.625, 0.625, 0.625)

Its formation energy from the elements is 130.8 meV per atom. The space group is No. 216. The magnetic moment is 0.00 μB per cell.

Record 5
VASP calculation (PBEsol) on a geometry-optimized FeMo2HRu structure.

Cell: 3.891 3.891 3.687 Å, 90.00 90.00 90.00°
Element x y z (fractional)
Fe (0.000, 0.000, 0.000)
Mo (0.000, 0.500, 0.500)
Mo (0.500, 0.000, 0.500)
H (0.000, 0.000, 0.500)
Ru (0.500, 0.500, 0.000)

The energy comes out at -9.149 eV per atom. The space group is No. 123. The magnetic moment is 0.41 μB per cell.

Record 6
VASP calculation (PBEsol) on a geometry-optimized HfMn2Mo structure.

Cell: 4.272 4.272 4.272 Å, 60.00 60.00 60.00°
Element x y z (fractional)
Hf (0.000, 0.000, 0.000)
Mn (0.250, 0.250, 0.250)
Mn (0.750, 0.750, 0.750)
Mo (0.500, 0.500, 0.500)

Its formation energy from the elements is -71.1 meV per atom. The space group is No. 225. The magnetic moment is 0.00 μB per cell.

Record 7
VASP calculation (PBEsol) on a geometry-optimized CuMoIO2 structure.

Cell: 3.790 3.790 5.818 Å, 90.00 90.00 90.00°
Element x y z (fractional)
Cu (0.000, 0.000, 0.000)
Mo (0.500, 0.500, 0.500)
I (0.500, 0.500, 0.000)
O (0.000, 0.500, 0.500)
O (0.500, 0.000, 0.500)

The space group is No. 123. As for the formation energy from raw total energies: -0.7672 eV/atom. The magnetic moment is 0.00 μB per cell.

Record 8
VASP calculation (PBEsol) on a geometry-optimized CaMgFe2 structure.

Cell: 3.424 3.424 6.333 Å, 90.00 90.00 90.00°
Element x y z (fractional)
Ca (0.000, 0.000, 0.000)
Mg (0.000, 0.000, 0.500)
Fe (0.500, 0.500, 0.326)
Fe (0.500, 0.500, 0.674)

Its formation energy from the elements is 532.8 meV per atom. The space group is No. 123. The magnetic moment is 4.56 μB per cell.

Record 9
VASP calculation (PBEsol) on a geometry-optimized Be3Ru structure.

Cell: 7.159 7.159 7.159 Å, 153.15 153.15 38.33°
Element x y z (fractional)
Be (0.000, 0.500, 0.500)
Be (0.133, 0.133, 0.000)
Be (0.250, 0.750, 0.500)
Be (0.500, 0.000, 0.500)
Be (0.750, 0.250, 0.500)
Be (0.867, 0.867, 0.000)
Ru (0.384, 0.384, 0.000)
Ru (0.616, 0.616, 0.000)

Its formation energy from the elements is -295.6 meV per atom. The space group is No. 139. The magnetic moment is 0.00 μB per cell.

Record 10
VASP calculation (PBEsol) on a geometry-optimized YRe2Pt structure.

Cell: 5.163 5.163 2.712 Å, 90.00 90.00 114.01°
Element x y z (fractional)
Y (0.000, 0.000, 0.000)
Re (0.000, 0.500, 0.500)
Re (0.500, 0.000, 0.500)
Pt (0.500, 0.500, 0.000)

Its formation energy from the elements is 300.2 meV per atom. The distance to the lowest polymorph of the same formula is 0.339 eV/atom. The space group is No. 65. The magnetic moment is 0.00 μB per cell.